## TlFeCuF6 (PBE+U)

Data for a geometry-optimized TlFeCuF6 structure.

The calculation puts the total energy at -4.617 eV per atom.

The space group is C2 (No. 5) and the conventional cell measures 5.614, 9.164 and 5.915 Å, with angles of 90.00, 91.69 and 90.00 degrees. Symmetry generates all atoms from Tl at (0.000, 0.000, 0.000), Fe at (0.000, 0.663, 0.500), Cu at (0.000, 0.327, 0.500), F at (0.114, 0.491, 0.684), F at (0.154, 0.793, 0.710) and F at (0.193, 0.180, 0.662).